Model w:
Here is crystalline Ti3As2H at its relaxed geometry from Alexandria. Energies are from GGA-PBE.

- total moment (μB per formula unit) = 0.00
- ρ (kg/m³) = 5717
- symmetry = Pnma (62)

The structure in POSCAR format:
```
Ti3As2H
1.0
-2.382 -2.722 0.322
4.562 -3.570 3.564
-4.794 5.583 11.731
As Ti H
8 12 4
Direct
0.750 0.247 0.454 As
0.250 0.253 0.954 As
0.250 0.411 0.210 As
0.750 0.089 0.710 As
0.750 0.589 0.790 As
0.750 0.747 0.046 As
0.250 0.911 0.290 As
0.250 0.753 0.546 As
0.250 0.324 0.771 Ti
0.750 0.866 0.426 Ti
0.750 0.366 0.074 Ti
0.750 0.495 0.606 Ti
0.750 0.176 0.271 Ti
0.250 0.505 0.394 Ti
0.250 0.824 0.729 Ti
0.250 0.634 0.926 Ti
0.750 0.676 0.229 Ti
0.750 0.995 0.894 Ti
0.250 0.134 0.574 Ti
0.250 0.005 0.106 Ti
0.750 0.112 0.134 H
0.250 0.388 0.634 H
0.250 0.888 0.866 H
0.750 0.612 0.366 H
```


Model x:
Here is crystalline Ti3As2H at its relaxed geometry from Alexandria. Energies are from GGA-PBE.

- total moment (μB per formula unit) = 0.00
- ρ (kg/m³) = 5428
- symmetry = C2/c (15)

The structure in POSCAR format:
```
Ti3As2H
1.0
5.086 0.000 0.000
0.000 6.907 -0.330
-2.543 -1.970 5.222
Ti As H
6 4 2
Direct
0.863 0.995 0.735 Ti
0.129 0.505 0.265 Ti
0.498 0.750 0.000 Ti
0.502 0.250 0.000 Ti
0.137 0.005 0.265 Ti
0.871 0.495 0.735 Ti
0.313 0.887 0.637 As
0.324 0.387 0.637 As
0.687 0.113 0.363 As
0.676 0.613 0.363 As
0.130 0.250 0.000 H
0.870 0.750 0.000 H
```


It turns out model w is the most stable, with the second structure 283 meV/atom higher.


Model w:
Here is crystalline Ti4AsH2 at its relaxed geometry from Alexandria. Energies are from GGA-PBE.

- total moment (μB per formula unit) = 0.00
- ρ (kg/m³) = 4856
- symmetry = I-42d (122)

The structure in POSCAR format:
```
Ti4AsH2
1.0
-2.778 5.479 -1.360
-2.094 -3.875 4.493
5.653 1.747 2.132
Ti H As
8 4 2
Direct
0.795 0.162 0.747 Ti
0.952 0.205 0.367 Ti
0.838 0.585 0.633 Ti
0.455 0.702 0.867 Ti
0.835 0.588 0.133 Ti
0.412 0.545 0.247 Ti
0.298 0.165 0.753 Ti
0.415 0.048 0.253 Ti
0.678 0.375 0.803 H
0.125 0.322 0.697 H
0.572 0.875 0.197 H
0.625 0.428 0.303 H
0.000 0.000 0.000 As
0.250 0.750 0.500 As
```


Model x:
Here is crystalline Ti4AsH2 at its relaxed geometry from Alexandria. Energies are from GGA-PBE.

- total moment (μB per formula unit) = 0.51
- ρ (kg/m³) = 4279
- symmetry = I4/mmm (139)

The structure in POSCAR format:
```
Ti4AsH2
1.0
4.617 0.000 0.000
0.000 4.617 0.000
2.309 2.309 4.886
Ti H As
4 2 1
Direct
0.746 0.746 0.508 Ti
0.254 0.254 0.492 Ti
0.500 0.000 0.000 Ti
0.000 0.500 0.000 Ti
0.565 0.565 0.869 H
0.435 0.435 0.131 H
0.000 0.000 0.000 As
```


It turns out model w is the most stable, with the second structure 628 meV/atom higher.


Model w:
Here is crystalline Ti3AsH at its relaxed geometry from Alexandria. Energies are from GGA-PBE.

- total moment (μB per formula unit) = 0.00
- ρ (kg/m³) = 5655
- symmetry = Pm-3m (221)

The structure in POSCAR format:
```
Ti3AsH
1.0
-0.135 1.267 -3.802
0.277 -3.792 -1.273
-3.998 -0.306 0.040
Ti As H
3 1 1
Direct
0.500 0.000 0.000 Ti
0.000 0.000 0.500 Ti
0.000 0.500 0.000 Ti
0.500 0.500 0.500 As
0.000 0.000 0.000 H
```


Model x:
Here is crystalline Ti3AsH at its relaxed geometry from Alexandria. Energies are from GGA-PBE.

- total moment (μB per formula unit) = 0.00
- ρ (kg/m³) = 4814
- symmetry = P-1 (2)

The structure in POSCAR format:
```
Ti3AsH
1.0
3.228 0.003 0.002
-1.606 6.768 0.822
0.002 -1.749 6.718
Ti H As
6 2 2
Direct
0.353 0.704 0.001 Ti
0.820 0.641 0.340 Ti
0.007 0.009 0.207 Ti
0.647 0.296 0.999 Ti
0.180 0.359 0.660 Ti
0.993 0.991 0.793 Ti
0.212 0.425 0.928 H
0.788 0.575 0.072 H
0.364 0.731 0.624 As
0.636 0.269 0.376 As
```


It turns out model w is the most stable, with the second structure 197 meV/atom higher.


Model w:
Here is crystalline Ti2AsH2 at its relaxed geometry from Alexandria. Energies are from GGA-PBE.

- total moment (μB per formula unit) = 0.00
- ρ (kg/m³) = 5160
- symmetry = Fddd (70)

The structure in POSCAR format:
```
Ti2AsH2
1.0
-3.973 0.242 -3.518
-1.131 -3.940 3.379
0.558 4.511 2.505
Ti H As
4 4 2
Direct
0.825 0.675 0.250 Ti
0.575 0.925 0.750 Ti
0.425 0.075 0.250 Ti
0.175 0.325 0.750 Ti
0.251 0.001 0.501 H
0.749 0.999 0.499 H
0.499 0.249 0.999 H
0.501 0.751 0.001 H
0.875 0.625 0.750 As
0.125 0.375 0.250 As
```


Model x:
Here is crystalline Ti2AsH2 at its relaxed geometry from Alexandria. Energies are from GGA-PBE.

- total moment (μB per formula unit) = 0.00
- ρ (kg/m³) = 5339
- symmetry = I4/mmm (139)

The structure in POSCAR format:
```
Ti2AsH2
1.0
3.180 0.000 0.000
0.000 3.180 0.000
1.590 1.590 5.310
As H Ti
1 2 2
Direct
0.000 0.000 0.000 As
0.250 0.750 0.500 H
0.750 0.250 0.500 H
0.366 0.366 0.268 Ti
0.634 0.634 0.732 Ti
```


It turns out model x is the most stable, with the second structure 68 meV/atom higher.